1.
DFT (PBE-GGA) results for a geometry-optimized La2SiIr structure.

energy relative to the elements, uncorrected	-0.767	eV/atom

abc: 4.260 4.442 5.774
angles: 67.36 90.00 90.00
Sites, in units of the cell vectors:
La1 0.500 0.270 0.335
Ir1 0.500 0.560 0.755
La2 0.000 0.985 0.905
Si1 0.000 0.685 0.505

2.
DFT (PBE-GGA) results for a geometry-optimized Pr2NdY5Th structure.

energy of formation from the pure elements	0.274	eV/atom

abc: 8.773 8.773 9.989
angles: 116.05 116.05 90.00
Sites, in units of the cell vectors:
Nd1 0.250 0.750 0.500
Y1 0.500 0.500 0.000
Pr1 0.617 0.117 0.000
Th1 0.750 0.750 0.500
Y2 0.927 0.427 0.279
Y3 0.427 0.352 0.279
Y4 0.573 0.648 0.721
Y5 0.148 0.073 0.721
Y6 0.352 0.852 0.279
Th2 0.250 0.250 0.500
Y7 0.852 0.927 0.279
Y8 0.000 0.000 0.000
Pr2 0.883 0.617 0.000
Y9 0.648 0.148 0.721
Pr3 0.383 0.883 0.000
Y10 0.073 0.573 0.721
Nd2 0.750 0.250 0.500
Pr4 0.117 0.383 0.000

3.
DFT (PBE-GGA) results for a geometry-optimized ZnGaO structure.

energy relative to the elements, uncorrected	-0.669	eV/atom

abc: 2.879 2.918 10.910
angles: 90.00 90.00 119.56
Sites, in units of the cell vectors:
Zn1 0.703 0.405 0.717
Ga1 0.501 0.001 0.000
O1 0.175 0.350 0.110
Zn2 0.703 0.405 0.283
Ga2 0.411 0.822 0.500
O2 0.175 0.350 0.890

4.
DFT (PBE-GGA) results for a geometry-optimized SnIF3 structure.

relative energy among the computed polymorphs	0	meV per atom
energy relative to the elements, uncorrected	-1.443	eV/atom

abc: 4.536 4.536 4.536
angles: 90.00 90.00 90.00
Sites, in units of the cell vectors:
F1 0.000 0.500 0.000
F2 0.000 0.000 0.500
F3 0.500 0.000 0.000
I1 0.500 0.500 0.500
Sn1 0.000 0.000 0.000

5.
DFT (PBE-GGA) results for a geometry-optimized CoTcNi2 structure.

energy of formation from the pure elements	0.109	eV/atom
relative energy among the computed polymorphs	75	meV per atom

abc: 2.545 4.442 5.102
angles: 55.35 90.00 90.00
Sites, in units of the cell vectors:
Co1 0.000 0.000 0.500
Ni1 0.500 0.500 0.000
Tc1 0.500 0.500 0.500
Ni2 0.000 0.000 0.000

6.
DFT (PBE-GGA) results for a geometry-optimized CaPH3O4 structure.

abc: 6.794 7.770 7.969
angles: 69.78 90.00 90.00
Sites, in units of the cell vectors:
H1 0.726 0.885 0.491
O1 0.094 0.860 0.371
H2 0.947 0.188 0.723
H3 0.080 0.995 0.320
O2 0.052 0.234 0.200
Ca1 0.628 0.389 0.852
O3 0.552 0.766 0.300
H4 0.447 0.812 0.777
H5 0.226 0.115 0.009
P1 0.134 0.276 0.011
O4 0.789 0.567 0.541
Ca2 0.128 0.611 0.648
O5 0.475 0.675 0.638
O6 0.289 0.433 0.959
O7 0.906 0.140 0.629
Ca3 0.872 0.389 0.352
O8 0.211 0.433 0.459
H6 0.580 0.005 0.180
P2 0.366 0.276 0.511
O9 0.448 0.234 0.700
H7 0.420 0.995 0.820
H8 0.553 0.188 0.223
H9 0.053 0.812 0.277
P3 0.634 0.724 0.489
P4 0.866 0.724 0.989
H10 0.774 0.885 0.991
Ca4 0.372 0.611 0.148
O10 0.948 0.766 0.800
O11 0.406 0.860 0.871
O12 0.525 0.325 0.362
O13 0.975 0.325 0.862
H11 0.920 0.005 0.680
O14 0.711 0.567 0.041
O15 0.025 0.675 0.138
O16 0.594 0.140 0.129
H12 0.274 0.115 0.509

7.
DFT (PBE-GGA) results for a geometry-optimized Na3Sb4Pd4 structure.

relative energy among the computed polymorphs	0	meV per atom
energy relative to the elements, uncorrected	-0.391	eV/atom

abc: 7.080 7.080 7.080
angles: 109.47 109.47 109.47
Sites, in units of the cell vectors:
Na1 0.500 0.000 0.500
Pd1 0.266 0.000 0.000
Pd2 0.734 0.734 0.734
Sb1 0.375 0.375 0.375
Na2 0.000 0.500 0.500
Pd3 0.000 0.000 0.266
Sb2 0.000 0.000 0.625
Pd4 0.000 0.266 0.000
Na3 0.500 0.500 0.000
Sb3 0.000 0.625 0.000
Sb4 0.625 0.000 0.000

8.
DFT (PBE-GGA) results for a geometry-optimized Nd5TmCd4 structure.

energy of formation from the pure elements	-0.238	eV/atom

abc: 3.806 3.806 20.435
angles: 90.00 90.00 90.00
Sites, in units of the cell vectors:
Nd1 0.500 0.500 0.500
Nd2 0.500 0.500 0.308
Cd1 0.000 0.000 0.210
Tm1 0.000 0.000 0.000
Cd2 0.000 0.000 0.596
Nd3 0.500 0.500 0.885
Nd4 0.500 0.500 0.115
Cd3 0.000 0.000 0.404
Cd4 0.000 0.000 0.790
Nd5 0.500 0.500 0.692

no.,energy (eV per atom)
1,-6.802
2,-5.733
3,-3.755
4,-3.676
5,-7.149
6,-6.020
7,-4.138
8,-3.435